The following is a DFT calculation (GGA-PBEsol) of a relaxed Sr3Pt crystal.

Lattice parameters (Å, degrees): 6.9882 11.0263 11.9080 90.00 90.00 90.00
With the nearest neighbours (Å) after each atom.
Fractional positions:
Pt  0.9327  0.0000  0.7531  6 Sr 2.97-3.12
Pt  0.0956  0.0000  0.4170  6 Sr 2.96-3.15
Pt  0.2618  0.0000  0.0857  6 Sr 2.94-3.11
Pt  0.0673  0.5000  0.2531  6 Sr 2.97-3.12
Pt  0.9044  0.5000  0.9170  6 Sr 2.96-3.15
Pt  0.7382  0.5000  0.5857  6 Sr 2.94-3.11
Sr  0.8779  0.3251  0.4185  2 Pt 2.94-3.06
Sr  0.7914  0.3411  0.1094  2 Pt 2.99-3.12
Sr  0.6803  0.3171  0.7621  2 Pt 2.94-3.15
Sr  0.3197  0.1829  0.2621  2 Pt 2.94-3.15
Sr  0.1221  0.1749  0.9185  2 Pt 2.94-3.06
Sr  0.2086  0.1589  0.6094  2 Pt 2.99-3.12
Sr  0.8674  0.0000  0.2075  2 Pt 2.96-3.11
Sr  0.6001  0.0000  0.9175  2 Pt 3.04-3.10
Sr  0.7155  0.0000  0.5385  2 Pt 2.97-3.03
Sr  0.8779  0.6749  0.4185  2 Pt 2.94-3.06
Sr  0.7914  0.6589  0.1094  2 Pt 2.99-3.12
Sr  0.6803  0.6829  0.7621  2 Pt 2.94-3.15
Sr  0.3197  0.8171  0.2621  2 Pt 2.94-3.15
Sr  0.1221  0.8251  0.9185  2 Pt 2.94-3.06
Sr  0.2086  0.8411  0.6094  2 Pt 2.99-3.12
Sr  0.1326  0.5000  0.7075  2 Pt 2.96-3.11
Sr  0.3999  0.5000  0.4175  2 Pt 3.04-3.10
Sr  0.2845  0.5000  0.0385  2 Pt 2.97-3.03

Computed properties:
Energy relative to the elements   -0.389 eV per atom
Density   4.97 Mg/m³
Total energy   -84.25 eV per cell